1.
Here is PaTi2S6 after structural relaxation from Alexandria via LeMat-Bulk. Energies are from PBE-GGA.

## Properties
Space-group type: C2/m (12)
Total energy, eV/atom: -6.8900
Density of states at the Fermi level, states/eV per cell: 2.0
Theoretical density, Mg/m³: 4.486

```
data_PaTi2S6
_cell_length_a 6.401
_cell_length_b 6.401
_cell_length_c 8.069
_cell_angle_alpha 119.79
_cell_angle_beta 119.79
_cell_angle_gamma 43.47
_space_group_name_H-M_alt 'P 1'
_space_group_IT_number 1
loop_
_space_group_symop_operation_xyz
'x,y,z'
loop_
_atom_site_label
_atom_site_type_symbol
_atom_site_fract_x
_atom_site_fract_y
_atom_site_fract_z
Pa1 Pa 0.000 0.000 0.000
Ti1 Ti 0.192 0.192 0.579
Ti2 Ti 0.808 0.808 0.421
S1 S 0.032 0.032 0.700
S2 S 0.272 0.272 0.360
S3 S 0.358 0.358 0.927
S4 S 0.642 0.642 0.073
S5 S 0.728 0.728 0.640
S6 S 0.968 0.968 0.300
```

---

2.
Here is Pa2TiS6 after structural relaxation from Alexandria via LeMat-Bulk. Energies are from PBE-GGA.

## Properties
Space-group type: P4_2/mnm (136)
Total energy, eV/atom: -7.1468
Energy above the most stable polymorph in this dataset, meV/atom: 143
Density of states at the Fermi level, states/eV per cell: 13.8
Theoretical density, Mg/m³: 5.211

```
data_Pa2TiS6
_cell_length_a 6.228
_cell_length_b 6.228
_cell_length_c 11.541
_cell_angle_alpha 90.00
_cell_angle_beta 90.00
_cell_angle_gamma 90.00
_space_group_name_H-M_alt 'P 1'
_space_group_IT_number 1
loop_
_space_group_symop_operation_xyz
'x,y,z'
loop_
_atom_site_label
_atom_site_type_symbol
_atom_site_fract_x
_atom_site_fract_y
_atom_site_fract_z
Pa1 Pa 0.000 0.000 0.173
Pa2 Pa 0.000 0.000 0.827
Pa3 Pa 0.500 0.500 0.327
Pa4 Pa 0.500 0.500 0.673
Ti1 Ti 0.000 0.000 0.500
Ti2 Ti 0.500 0.500 0.000
S1 S 0.196 0.196 0.347
S2 S 0.196 0.196 0.653
S3 S 0.202 0.202 0.000
S4 S 0.298 0.702 0.500
S5 S 0.304 0.696 0.153
S6 S 0.304 0.696 0.847
S7 S 0.696 0.304 0.153
S8 S 0.696 0.304 0.847
S9 S 0.702 0.298 0.500
S10 S 0.798 0.798 0.000
S11 S 0.804 0.804 0.347
S12 S 0.804 0.804 0.653
```